Version w
Material: NaMgSb2Te
Method: DFT, GGA-PBE
State: relaxed

Calculated values
Space group: No. 123
Total magnetization (μB per cell): 0.00

a = 5.402 Å, b = 5.402 Å, c = 5.531 Å
α = 90.00°, β = 90.00°, γ = 90.00°
Fractional coordinates of all 5 atoms:
Sb1 0.000 0.500 0.000
Sb2 0.500 0.000 0.000
Mg1 0.500 0.500 0.500
Te1 0.000 0.000 0.500
Na1 0.000 0.000 0.000

=====

Version x
Material: NaMgSb2Te
Method: DFT, GGA-PBE
State: relaxed

Calculated values
Space group: No. 123
Total magnetization (μB per cell): 0.00

a = 5.420 Å, b = 5.420 Å, c = 5.720 Å
α = 90.00°, β = 90.00°, γ = 90.00°
Fractional coordinates of all 5 atoms:
Sb1 0.000 0.500 0.000
Sb2 0.500 0.000 0.000
Mg1 0.000 0.000 0.000
Te1 0.000 0.000 0.500
Na1 0.500 0.500 0.500

=====

Stability ranking, top entry: version x; the second entry is 465 meV/atom less favorable.

=====

Version w
Material: Na3MgSe
Method: DFT, GGA-PBE
State: relaxed

Calculated values
Space group: No. 221
Total magnetization (μB per cell): 0.00

a = 5.631 Å, b = 5.631 Å, c = 5.631 Å
α = 90.00°, β = 90.00°, γ = 90.00°
Fractional coordinates of all 5 atoms:
Na1 0.000 0.500 0.000
Na2 0.000 0.000 0.500
Na3 0.500 0.000 0.000
Mg1 0.000 0.000 0.000
Se1 0.500 0.500 0.500

=====

Version x
Material: Na3MgSe
Method: DFT, GGA-PBE
State: relaxed

Calculated values
Space group: No. 221
Total magnetization (μB per cell): 0.65

a = 5.604 Å, b = 5.604 Å, c = 5.604 Å
α = 90.00°, β = 90.00°, γ = 90.00°
Fractional coordinates of all 5 atoms:
Na1 0.000 0.500 0.000
Na2 0.000 0.000 0.500
Na3 0.500 0.000 0.000
Mg1 0.500 0.500 0.500
Se1 0.000 0.000 0.000

=====

Stability ranking, top entry: version x; the second entry is 607 meV/atom less favorable.

=====

Version w
Material: Na3MgSi
Method: DFT, GGA-PBE
State: relaxed

Calculated values
Space group: No. 221
Total magnetization (μB per cell): 1.01

a = 5.647 Å, b = 5.647 Å, c = 5.647 Å
α = 90.00°, β = 90.00°, γ = 90.00°
Last column: magnetic moment on the atom in μB.
Fractional coordinates of all 5 atoms:
Na1 0.000 0.500 0.000  -0.01
Na2 0.000 0.000 0.500  -0.01
Na3 0.500 0.000 0.000  -0.01
Si1 0.500 0.500 0.500  0.31
Mg1 0.000 0.000 0.000  -0.01

=====

Version x
Material: Na3MgSi
Method: DFT, GGA-PBE
State: relaxed

Calculated values
Space group: No. 221
Total magnetization (μB per cell): 1.00

a = 5.637 Å, b = 5.637 Å, c = 5.637 Å
α = 90.00°, β = 90.00°, γ = 90.00°
Last column: magnetic moment on the atom in μB.
Fractional coordinates of all 5 atoms:
Na1 0.000 0.500 0.000  0.01
Na2 0.000 0.000 0.500  0.02
Na3 0.500 0.000 0.000  0.01
Si1 0.000 0.000 0.000  0.27
Mg1 0.500 0.500 0.500  0.02

=====

Stability ranking, top entry: version x; the second entry is 403 meV/atom less favorable.

=====

Version w
Material: NaSm2Mg
Method: DFT, GGA-PBE
State: relaxed

Calculated values
Space group: No. 123
Total magnetization (μB per cell): 0.00

a = 3.851 Å, b = 3.851 Å, c = 8.475 Å
α = 90.00°, β = 90.00°, γ = 90.00°
Fractional coordinates of all 4 atoms:
Na1 0.500 0.500 0.500
Mg1 0.500 0.500 0.000
Sm1 0.000 0.000 0.784
Sm2 0.000 0.000 0.216

=====

Version x
Material: NaSm2Mg
Method: DFT, GGA-PBE
State: relaxed

Calculated values
Space group: No. 166
Total magnetization (μB per cell): 0.00

a = 3.476 Å, b = 3.476 Å, c = 12.675 Å
α = 82.12°, β = 82.12°, γ = 60.00°
Fractional coordinates of all 4 atoms:
Na1 0.000 0.000 0.000
Mg1 0.500 0.500 0.500
Sm1 0.095 0.095 0.715
Sm2 0.905 0.905 0.285

=====

Stability ranking, top entry: version w; the second entry is 62 meV/atom less favorable.

=====

Version w
Material: NaMgSn
Method: DFT, GGA-PBE
State: relaxed

Calculated values
Space group: No. 11
Total magnetization (μB per cell): 0.00

a = 3.511 Å, b = 4.885 Å, c = 9.476 Å
α = 90.01°, β = 111.72°, γ = 89.98°
Fractional coordinates of all 6 atoms:
Na1 0.299 0.750 0.549
Na2 0.701 0.250 0.451
Mg1 0.141 0.750 0.894
Mg2 0.859 0.250 0.106
Sn1 0.523 0.250 0.774
Sn2 0.477 0.750 0.226

=====

Version x
Material: NaMgSn
Method: DFT, GGA-PBE
State: relaxed

Calculated values
Space group: No. 216
Total magnetization (μB per cell): 0.00

a = 5.008 Å, b = 5.008 Å, c = 5.008 Å
α = 60.00°, β = 60.00°, γ = 60.00°
Fractional coordinates of all 3 atoms:
Na1 0.500 0.500 0.500
Mg1 0.000 0.000 0.000
Sn1 0.250 0.250 0.250

=====

Version y
Material: NaMgSn
Method: DFT, GGA-PBE
State: relaxed

Calculated values
Space group: No. 107
Total magnetization (μB per cell): 0.00

a = 4.050 Å, b = 4.050 Å, c = 5.494 Å
α = 111.63°, β = 111.63°, γ = 90.00°
Fractional coordinates of all 3 atoms:
Na1 0.614 0.614 0.229
Mg1 0.292 0.292 0.585
Sn1 0.943 0.943 0.887

=====

Version z
Material: NaMgSn
Method: DFT, GGA-PBE
State: relaxed

Calculated values
Space group: No. 129
Total magnetization (μB per cell): 0.00

a = 4.453 Å, b = 4.453 Å, c = 8.363 Å
α = 90.00°, β = 90.00°, γ = 90.00°
Fractional coordinates of all 6 atoms:
Na1 0.000 0.500 0.866
Na2 0.500 0.000 0.134
Mg1 0.500 0.500 0.500
Mg2 0.000 0.000 0.500
Sn1 0.000 0.500 0.259
Sn2 0.500 0.000 0.741

=====

Stability ranking, top entry: version z; the second entry is 27 meV/atom less favorable.

=====

Version w
Material: Na2MgSn3
Method: DFT, GGA-PBE
State: relaxed

Calculated values
Space group: No. 15
Total magnetization (μB per cell): 0.00

a = 6.217 Å, b = 6.217 Å, c = 8.374 Å
α = 98.70°, β = 98.70°, γ = 93.87°
Fractional coordinates of all 12 atoms:
Na1 0.868 0.380 0.126
Na2 0.620 0.132 0.374
Na3 0.132 0.620 0.874
Na4 0.380 0.868 0.626
Mg1 0.082 0.918 0.250
Mg2 0.918 0.082 0.750
Sn1 0.164 0.328 0.497
Sn2 0.672 0.836 0.003
Sn3 0.836 0.672 0.503
Sn4 0.328 0.164 0.997
Sn5 0.414 0.586 0.250
Sn6 0.586 0.414 0.750

=====

Version x
Material: Na2MgSn3
Method: DFT, GGA-PBE
State: relaxed

Calculated values
Space group: No. 63
Total magnetization (μB per cell): 0.00

a = 5.781 Å, b = 8.693 Å, c = 8.679 Å
α = 120.06°, β = 90.00°, γ = 90.00°
Fractional coordinates of all 12 atoms:
Na1 0.750 0.519 0.354
Na2 0.250 0.481 0.646
Na3 0.250 0.835 0.354
Na4 0.750 0.165 0.646
Mg1 0.250 0.191 0.000
Mg2 0.750 0.809 0.000
Sn1 0.000 0.142 0.283
Sn2 0.500 0.858 0.717
Sn3 0.000 0.500 0.000
Sn4 0.500 0.500 0.000
Sn5 0.000 0.858 0.717
Sn6 0.500 0.142 0.283

=====

Stability ranking, top entry: version w; the second entry is 112 meV/atom less favorable.

=====

Version w
Material: Na3Mg2Sn2
Method: DFT, GGA-PBE
State: relaxed

Calculated values
Space group: No. 12
Total magnetization (μB per cell): 0.00

a = 5.071 Å, b = 5.071 Å, c = 8.617 Å
α = 89.33°, β = 107.62°, γ = 120.37°
Fractional coordinates of all 7 atoms:
Na1 0.000 0.000 0.000
Na2 0.720 0.860 0.580
Na3 0.280 0.140 0.420
Mg1 0.432 0.718 0.150
Mg2 0.568 0.282 0.850
Sn1 0.174 0.586 0.759
Sn2 0.826 0.414 0.241

=====

Version x
Material: Na3Mg2Sn2
Method: DFT, GGA-PBE
State: relaxed

Calculated values
Space group: No. 10
Total magnetization (μB per cell): 0.00

a = 5.155 Å, b = 3.251 Å, c = 11.086 Å
α = 90.00°, β = 76.31°, γ = 90.00°
Fractional coordinates of all 7 atoms:
Na1 0.284 0.000 0.433
Na2 0.000 0.000 0.000
Na3 0.716 0.000 0.567
Mg1 0.424 0.000 0.150
Mg2 0.576 0.000 0.850
Sn1 0.138 0.500 0.726
Sn2 0.862 0.500 0.274

=====

Stability ranking, top entry: version w; the second entry is 124 meV/atom less favorable.

=====

Version w
Material: NaMg2Sn2
Method: DFT, GGA-PBE
State: relaxed

Calculated values
Space group: No. 65
Total magnetization (μB per cell): 0.00

a = 4.838 Å, b = 4.838 Å, c = 7.171 Å
α = 90.00°, β = 90.00°, γ = 117.78°
Fractional coordinates of all 5 atoms:
Na1 0.000 0.000 0.000
Mg1 0.831 0.169 0.500
Mg2 0.169 0.831 0.500
Sn1 0.500 0.500 0.713
Sn2 0.500 0.500 0.287

=====

Version x
Material: NaMg2Sn2
Method: DFT, GGA-PBE
State: relaxed

Calculated values
Space group: No. 127
Total magnetization (μB per cell): 0.00

a = 8.792 Å, b = 8.792 Å, c = 3.299 Å
α = 90.00°, β = 90.00°, γ = 90.00°
Fractional coordinates of all 10 atoms:
Na1 0.000 0.000 0.000
Na2 0.500 0.500 0.000
Mg1 0.373 0.873 0.000
Mg2 0.873 0.627 0.000
Mg3 0.627 0.127 0.000
Mg4 0.127 0.373 0.000
Sn1 0.169 0.669 0.500
Sn2 0.669 0.831 0.500
Sn3 0.831 0.331 0.500
Sn4 0.331 0.169 0.500

=====

Stability ranking, top entry: version x; the second entry is 152 meV/atom less favorable.

=====

Version w
Material: Na2Sr2Mg
Method: DFT, GGA-PBE
State: relaxed

Calculated values
Space group: No. 127
Total magnetization (μB per cell): 0.00

a = 9.596 Å, b = 9.596 Å, c = 4.864 Å
α = 90.00°, β = 90.00°, γ = 90.00°
Fractional coordinates of all 10 atoms:
Sr1 0.343 0.843 0.000
Sr2 0.843 0.657 0.000
Sr3 0.657 0.157 0.000
Sr4 0.157 0.343 0.000
Mg1 0.000 0.000 0.000
Mg2 0.500 0.500 0.000
Na1 0.144 0.644 0.500
Na2 0.644 0.856 0.500
Na3 0.856 0.356 0.500
Na4 0.356 0.144 0.500

=====

Version x
Material: Na2Sr2Mg
Method: DFT, GGA-PBE
State: relaxed

Calculated values
Space group: No. 139
Total magnetization (μB per cell): 0.00

a = 4.195 Å, b = 4.195 Å, c = 11.827 Å
α = 100.21°, β = 100.21°, γ = 90.00°
Fractional coordinates of all 5 atoms:
Na1 0.794 0.794 0.589
Na2 0.206 0.206 0.411
Sr1 0.590 0.590 0.181
Sr2 0.410 0.410 0.819
Mg1 0.000 0.000 0.000

=====

Version y
Material: Na2Sr2Mg
Method: DFT, GGA-PBE
State: relaxed

Calculated values
Space group: No. 127
Total magnetization (μB per cell): 0.00

a = 8.479 Å, b = 8.479 Å, c = 5.658 Å
α = 90.00°, β = 90.00°, γ = 90.00°
Fractional coordinates of all 10 atoms:
Sr1 0.182 0.682 0.500
Sr2 0.682 0.818 0.500
Sr3 0.818 0.318 0.500
Sr4 0.318 0.182 0.500
Mg1 0.000 0.000 0.000
Mg2 0.500 0.500 0.000
Na1 0.369 0.869 0.000
Na2 0.869 0.631 0.000
Na3 0.631 0.131 0.000
Na4 0.131 0.369 0.000

=====

Stability ranking, top entry: version x; the second entry is 105 meV/atom less favorable.

=====

Version w
Material: NaSr8Mg2
Method: DFT, GGA-PBE
State: relaxed

Calculated values
Space group: No. 12
Total magnetization (μB per cell): 0.00

a = 6.369 Å, b = 9.802 Å, c = 9.908 Å
α = 117.16°, β = 108.75°, γ = 90.00°
Fractional coordinates of all 11 atoms:
Na1 0.500 0.000 0.000
Sr1 0.609 0.468 0.218
Sr2 0.317 0.049 0.634
Sr3 0.148 0.212 0.296
Sr4 0.056 0.726 0.112
Sr5 0.852 0.788 0.704
Sr6 0.683 0.951 0.366
Sr7 0.391 0.532 0.782
Sr8 0.944 0.274 0.888
Mg1 0.220 0.629 0.439
Mg2 0.780 0.371 0.561

=====

Version x
Material: NaSr8Mg2
Method: DFT, GGA-PBE
State: relaxed

Calculated values
Space group: No. 12
Total magnetization (μB per cell): 0.00

a = 5.982 Å, b = 9.034 Å, c = 10.732 Å
α = 109.82°, β = 106.18°, γ = 90.00°
Fractional coordinates of all 11 atoms:
Na1 0.500 0.000 0.000
Sr1 0.399 0.526 0.799
Sr2 0.676 0.944 0.352
Sr3 0.815 0.722 0.631
Sr4 0.967 0.242 0.934
Sr5 0.185 0.278 0.369
Sr6 0.324 0.056 0.648
Sr7 0.601 0.474 0.201
Sr8 0.033 0.758 0.066
Mg1 0.809 0.317 0.617
Mg2 0.191 0.683 0.383

=====

Stability ranking, top entry: version w; the second entry is 7 meV/atom less favorable.

=====

Version w
Material: NaSrMg14
Method: DFT, GGA-PBE
State: relaxed

Calculated values
Space group: No. 187
Total magnetization (μB per cell): 0.00

a = 6.634 Å, b = 6.634 Å, c = 10.653 Å
α = 90.00°, β = 90.00°, γ = 120.00°
Fractional coordinates of all 16 atoms:
Na1 0.000 0.000 0.000
Sr1 0.000 0.000 0.500
Mg1 0.999 0.499 0.000
Mg2 0.012 0.506 0.500
Mg3 0.501 0.001 0.000
Mg4 0.494 0.988 0.500
Mg5 0.501 0.499 0.000
Mg6 0.494 0.506 0.500
Mg7 0.172 0.828 0.243
Mg8 0.172 0.828 0.757
Mg9 0.172 0.344 0.243
Mg10 0.172 0.344 0.757
Mg11 0.656 0.828 0.243
Mg12 0.656 0.828 0.757
Mg13 0.667 0.333 0.256
Mg14 0.667 0.333 0.744

=====

Version x
Material: NaSrMg14
Method: DFT, GGA-PBE
State: relaxed

Calculated values
Space group: No. 38
Total magnetization (μB per cell): 0.00

a = 6.693 Å, b = 6.693 Å, c = 10.677 Å
α = 90.00°, β = 90.00°, γ = 122.28°
Fractional coordinates of all 16 atoms:
Na1 0.835 0.165 0.500
Sr1 0.327 0.673 0.500
Mg1 0.830 0.170 0.000
Mg2 0.330 0.670 0.000
Mg3 0.325 0.170 0.500
Mg4 0.338 0.169 0.000
Mg5 0.830 0.675 0.500
Mg6 0.831 0.662 0.000
Mg7 0.172 0.327 0.235
Mg8 0.172 0.327 0.765
Mg9 0.673 0.828 0.235
Mg10 0.673 0.828 0.765
Mg11 0.669 0.331 0.254
Mg12 0.669 0.331 0.746
Mg13 0.164 0.836 0.241
Mg14 0.164 0.836 0.759

=====

Stability ranking, top entry: version w; the second entry is 5 meV/atom less favorable.